(1)
# Sr2MgZn PBE optimized geometry
# formation energy: -0.087 eV per atom
# ρ: 3.31 Mg/m³
# density of states at the Fermi level: 0.657 states/eV per atom
data_Sr2MgZn
_chemical_formula_sum 'Sr8 Mg4 Zn4'
_space_group_name_H-M_alt 'F m -3 m'
_space_group_IT_number 225
_space_group_name_Hall '-F 4 2 3'
_cell_length_a 8.102
_cell_length_b 8.102
_cell_length_c 8.102
_cell_angle_alpha 90.00
_cell_angle_beta 90.00
_cell_angle_gamma 90.00
loop_
_atom_site_label
_atom_site_type_symbol
_atom_site_fract_x
_atom_site_fract_y
_atom_site_fract_z
_atom_site_occupancy
Sr1 Sr 0.250 0.250 0.250 1
Mg1 Mg 0.000 0.000 0.000 1
Zn1 Zn 0.000 0.000 0.500 1

---

(2)
# SmDy8 PBE optimized geometry
# formation energy: 0.018 eV per atom
# ρ: 8.46 Mg/m³
# density of states at the Fermi level: 1.432 states/eV per atom
data_SmDy8
_chemical_formula_sum 'Sm2 Dy16'
_space_group_name_H-M_alt 'I 4/m m m'
_space_group_IT_number 139
_space_group_name_Hall '-I 4 2'
_cell_length_a 10.656
_cell_length_b 10.656
_cell_length_c 5.013
_cell_angle_alpha 90.00
_cell_angle_beta 90.00
_cell_angle_gamma 90.00
loop_
_atom_site_label
_atom_site_type_symbol
_atom_site_fract_x
_atom_site_fract_y
_atom_site_fract_z
_atom_site_occupancy
Sm1 Sm 0.000 0.000 0.000 1
Dy1 Dy 0.000 0.334 0.000 1
Dy2 Dy 0.167 0.167 0.500 1

---

(3)
# CaAcGePb PBE optimized geometry
# formation energy: -0.456 eV per atom
# ρ: 7.42 Mg/m³
# density of states at the Fermi level: 0.747 states/eV per atom
data_CaAcGePb
_chemical_formula_sum 'Ca4 Ac4 Ge4 Pb4'
_space_group_name_H-M_alt 'F -4 3 m'
_space_group_IT_number 216
_space_group_name_Hall 'F -4 2 3'
_cell_length_a 7.881
_cell_length_b 7.881
_cell_length_c 7.881
_cell_angle_alpha 90.00
_cell_angle_beta 90.00
_cell_angle_gamma 90.00
loop_
_atom_site_label
_atom_site_type_symbol
_atom_site_fract_x
_atom_site_fract_y
_atom_site_fract_z
_atom_site_occupancy
Ca1 Ca 0.000 0.000 0.000 1
Ac1 Ac 0.000 0.000 0.500 1
Ge1 Ge 0.250 0.250 0.250 1
Pb1 Pb 0.250 0.250 0.750 1

---

(4)
# Mg2TaReAg PBE optimized geometry
# formation energy: 1.419 eV per atom
# ρ: 8.35 Mg/m³
# density of states at the Fermi level: 0.529 states/eV per atom
data_Mg2TaReAg
_chemical_formula_sum 'Mg2 Ta1 Re1 Ag1'
_space_group_name_H-M_alt 'P 4/m m m'
_space_group_IT_number 123
_space_group_name_Hall '-P 4 2'
_cell_length_a 4.516
_cell_length_b 4.516
_cell_length_c 5.104
_cell_angle_alpha 90.00
_cell_angle_beta 90.00
_cell_angle_gamma 90.00
loop_
_atom_site_label
_atom_site_type_symbol
_atom_site_fract_x
_atom_site_fract_y
_atom_site_fract_z
_atom_site_occupancy
Mg1 Mg 0.000 0.500 0.000 1
Ta1 Ta 0.000 0.000 0.500 1
Re1 Re 0.500 0.500 0.500 1
Ag1 Ag 0.500 0.500 0.000 1

---

(5)
# ZrTi2Al2 PBE optimized geometry
# formation energy: -0.322 eV per atom
# ρ: 4.47 Mg/m³
# density of states at the Fermi level: 1.356 states/eV per atom
data_ZrTi2Al2
_chemical_formula_sum 'Zr2 Ti4 Al4'
_space_group_name_H-M_alt 'P 4/m b m'
_space_group_IT_number 127
_space_group_name_Hall '-P 4 2ab'
_cell_length_a 7.517
_cell_length_b 7.517
_cell_length_c 3.170
_cell_angle_alpha 90.00
_cell_angle_beta 90.00
_cell_angle_gamma 90.00
loop_
_atom_site_label
_atom_site_type_symbol
_atom_site_fract_x
_atom_site_fract_y
_atom_site_fract_z
_atom_site_occupancy
Zr1 Zr 0.000 0.000 0.000 1
Ti1 Ti 0.176 0.324 0.500 1
Al1 Al 0.122 0.622 0.000 1

---

(6)
# TeIr2Br PBE optimized geometry
# ρ: 12.88 Mg/m³
# E_form (uncorrected): 857 meV/atom
# density of states at the Fermi level: 0.866 states/eV per atom
data_TeIr2Br
_chemical_formula_sum 'Te1 Ir2 Br1'
_space_group_name_H-M_alt 'P 1 2/m 1'
_space_group_IT_number 10
_space_group_name_Hall '-P 2y'
_cell_length_a 3.033
_cell_length_b 4.614
_cell_length_c 5.550
_cell_angle_alpha 90.00
_cell_angle_beta 100.76
_cell_angle_gamma 90.00
loop_
_atom_site_label
_atom_site_type_symbol
_atom_site_fract_x
_atom_site_fract_y
_atom_site_fract_z
_atom_site_occupancy
Te1 Te 0.000 0.000 0.000 1
Ir1 Ir 0.167 0.500 0.280 1
Br1 Br 0.500 0.000 0.500 1